The following is a DFT calculation (PBE-GGA) of a relaxed NiTeIrRu crystal.

Geometry as extended XYZ:
```
4
Lattice="-1.820 0.204 3.286 -1.773 -3.630 -0.969 4.114 -1.044 1.123" Properties=species:S:1:pos:R:3 pbc="T T T"
Ir 0.927 -3.055 2.043
Ni -1.485 -2.127 2.831
Ru 0.811 -1.168 3.790
Te 0.327 -0.288 1.335
```

- E_form (uncorrected) (eV per atom) = 0.330
- final energy (eV/atom) = -6.43
- size of the total moment (μB/atom) = 0.000
- energy above the most stable polymorph in this dataset (meV/atom) = 63.2

=====

The following is a DFT calculation (PBE-GGA) of a relaxed NiTeIrRu crystal.

Geometry as extended XYZ:
```
4
Lattice="-2.867 3.118 -1.361 -2.243 -1.979 0.192 -0.724 1.246 4.383" Properties=species:S:1:pos:R:3 pbc="T T T"
Ru -1.569 -0.219 2.806
Te -0.090 0.154 0.543
Ni -2.769 0.938 0.712
Ir -1.988 2.512 2.671
```

- E_form (uncorrected) (eV per atom) = 0.301
- final energy (eV/atom) = -6.46
- size of the total moment (μB/atom) = 0.000
- energy above the most stable polymorph in this dataset (meV/atom) = 34.4

=====

The following is a DFT calculation (PBE-GGA) of a relaxed NiTeIrRu crystal.

Geometry as extended XYZ:
```
8
Lattice="2.876 0.000 0.000 0.000 3.739 0.000 0.000 0.000 12.826" Properties=species:S:1:pos:R:3 pbc="T T T"
Ir 0.000 0.000 10.733
Ir 1.438 1.869 4.320
Ni 0.000 0.000 8.244
Ni 1.438 1.869 1.831
Ru 0.000 0.000 3.081
Ru 1.438 1.869 9.494
Te 1.438 0.000 0.209
Te 0.000 1.869 6.622
```

- E_form (uncorrected) (eV per atom) = 0.342
- final energy (eV/atom) = -6.42
- size of the total moment (μB/atom) = 0.001
- energy above the most stable polymorph in this dataset (meV/atom) = 75.2

=====

The following is a DFT calculation (PBE-GGA) of a relaxed VNiIrRu crystal.

Geometry as extended XYZ:
```
4
Lattice="3.588 0.000 0.000 0.000 3.789 0.000 0.000 0.000 3.850" Properties=species:S:1:pos:R:3 pbc="T T T"
Ru 0.000 0.000 0.000
Ir 0.000 1.894 1.925
V 1.794 1.894 0.000
Ni 1.794 0.000 1.925
```

- final energy (eV/atom) = -8.56
- size of the total moment (μB/atom) = 0.000
- energy above the most stable polymorph in this dataset (meV/atom) = 0.0

=====

The following is a DFT calculation (PBE-GGA) of a relaxed VNiIrRu crystal.

Geometry as extended XYZ:
```
4
Lattice="-1.858 -1.373 3.520 -1.571 -3.903 0.167 1.882 -2.927 2.370" Properties=species:S:1:pos:R:3 pbc="T T T"
Ru -1.160 -6.152 4.543
Ni 0.000 0.000 0.000
Ir -0.387 -2.051 1.514
V -0.773 -4.101 3.029
```

- final energy (eV/atom) = -8.41
- size of the total moment (μB/atom) = 0.000
- energy above the most stable polymorph in this dataset (meV/atom) = 145.2

=====

The following is a DFT calculation (PBE-GGA) of a relaxed YNiIr2Ru crystal.

Geometry as extended XYZ:
```
5
Lattice="4.567 0.000 0.000 0.000 4.473 0.000 0.000 0.000 4.567" Properties=species:S:1:pos:R:3 pbc="T T T"
Y 2.284 2.237 2.284
Ni 0.000 0.000 0.000
Ir 2.284 0.000 0.000
Ir 0.000 0.000 2.284
Ru 0.000 2.237 0.000
```

- final energy (eV/atom) = -7.26
- size of the total moment (μB/atom) = 0.688

=====

The following is a DFT calculation (PBE-GGA) of a relaxed NiIrS2 crystal.

Geometry as extended XYZ:
```
8
Lattice="-2.514 -0.643 4.458 -0.606 -5.010 -1.064 2.912 -3.871 4.068" Properties=species:S:1:pos:R:3 pbc="T T T"
Ni 0.373 -5.854 2.350
Ni -1.560 -2.826 1.697
S 0.002 -4.188 0.968
S 1.006 -5.089 4.310
S -0.886 -1.987 3.611
S -0.538 -7.783 6.035
Ir 0.000 0.000 0.000
Ir -0.581 -3.670 5.111
```

- E_form (uncorrected) (eV per atom) = -0.155
- final energy (eV/atom) = -5.88
- size of the total moment (μB/atom) = 0.000

=====

The following is a DFT calculation (PBE-GGA) of a relaxed Ni3Ir3S8 crystal.

Geometry as extended XYZ:
```
14
Lattice="5.933 0.018 3.436 1.989 5.590 3.436 0.025 0.018 6.856" Properties=species:S:1:pos:R:3 pbc="T T T"
S 4.945 1.255 8.542
S 1.918 1.358 3.313
S 3.003 4.371 5.187
S 1.948 1.379 7.023
S 2.828 4.247 8.542
S 6.000 4.247 6.705
S 5.120 1.379 5.187
S 6.030 4.268 10.415
Ir 4.968 3.517 8.582
Ir 0.000 0.000 0.000
Ir 2.980 2.109 5.147
Ni 2.967 0.009 1.718
Ni 0.995 2.795 1.718
Ni 0.013 0.009 3.428
```

- E_form (uncorrected) (eV per atom) = -0.284
- final energy (eV/atom) = -5.78
- size of the total moment (μB/atom) = 0.000